Record 1
Here is an optimized crystal structure of Nd5Pa3Sb8 from the Alexandria database. Energies are from PBE.

Values from the calculation:
- energy relative to the elements, uncorrected (eV/f.u.) = -14.5
- density of states at the Fermi level (states/eV/f.u.) = 19.7

Cell: 8.9123 8.9123 21.9443 Å, 90.00 90.00 120.00°
Space group R-3m (No. 166, hexagonal axes)
Unique sites:
Nd (0.0000, 0.0000, 0.0000)
Nd (0.0000, 0.0000, 0.5000)
Nd (0.0000, 0.5000, 0.0000)
Pa (0.0000, 0.5000, 0.5000)
Sb (0.0000, 0.0000, 0.2470)
Sb (0.0051, 0.5026, 0.7525)

***

Record 2
Here is an optimized crystal structure of LaPtPb3 from the Alexandria database. Energies are from PBE.

Values from the calculation:
- density of states at the Fermi level (states/eV/f.u.) = 4.2

Cell: 5.4348 5.4348 5.4348 Å, 90.00 90.00 90.00°
Space group Pm-3m (No. 221)
Unique sites:
La (0.0000, 0.0000, 0.0000)
Pt (0.5000, 0.5000, 0.5000)
Pb (0.0000, 0.5000, 0.5000)

***

no.,size of the total moment (μB per formula unit),DFT total energy (eV/atom)
1,2.64,-6.236
2,0.00,-4.452